This record from Alexandria via LeMat-Bulk describes crystalline NaDyCr2O8 at its relaxed geometry. The functional is GGA+U.

raw total energy = -6.9164 eV per atom
symmetry = I-4m2 (119)
calculated volume = 164.38 Å³/cell

abc: 6.0066 6.0066 6.0066
angles: 105.64 105.64 117.43
Element x y z (fractional)
Na: 0.0000 0.0000 0.0000
Dy: 0.2500 0.7500 0.5000
Cr: 0.5000 0.5000 0.0000
Cr: 0.7500 0.2500 0.5000
O: 0.3447 0.1579 0.8132
O: 0.3447 0.5315 0.1868
O: 0.4033 0.0805 0.3228
O: 0.4685 0.6553 0.8132
O: 0.7578 0.0805 0.6772
O: 0.8421 0.6553 0.1868
O: 0.9195 0.2422 0.3228
O: 0.9195 0.5967 0.6772